# MnAgGeF6, relaxed, DFT PBE with a Hubbard U
# Crystal system: trigonal
# Total magnetic moment, μB/cell: 9.55
# D(E_F), states/eV per cell: 5.297
# SG: No. 163
# Total energy, Ha/atom: -0.1816
data_MnAgGeF6
_chemical_formula_sum 'Mn2 Ag2 Ge2 F12'
_space_group_name_H-M_alt 'P 1'
_space_group_IT_number 1
_cell_length_a 5.617
_cell_length_b 5.617
_cell_length_c 10.094
_cell_angle_alpha 90.00
_cell_angle_beta 90.00
_cell_angle_gamma 120.00
loop_
_space_group_symop_operation_xyz
'x,y,z'
loop_
_atom_site_label
_atom_site_type_symbol
_atom_site_fract_x
_atom_site_fract_y
_atom_site_fract_z
_atom_site_occupancy
F1 F 0.980 0.358 0.142 1
Ge1 Ge 0.667 0.333 0.250 1
F2 F 0.980 0.622 0.358 1
F3 F 0.622 0.980 0.858 1
F4 F 0.378 0.020 0.142 1
F5 F 0.358 0.378 0.858 1
Ag1 Ag 0.000 0.000 0.500 1
F6 F 0.358 0.980 0.642 1
Mn1 Mn 0.333 0.667 0.250 1
F7 F 0.020 0.642 0.858 1
F8 F 0.622 0.642 0.642 1
F9 F 0.020 0.378 0.642 1
Mn2 Mn 0.667 0.333 0.750 1
Ge2 Ge 0.333 0.667 0.750 1
F10 F 0.642 0.622 0.142 1
F11 F 0.642 0.020 0.358 1
F12 F 0.378 0.358 0.358 1
Ag2 Ag 0.000 0.000 0.000 1